# 1
# ZnCrPd2I, optimized geometry, DFT PBE
data_ZnCrPd2I
_chemical_formula_sum 'Zn1 Cr1 Pd2 I1'
_cell_length_a 5.0442
_cell_length_b 5.0442
_cell_length_c 5.1781
_cell_angle_alpha 90.00
_cell_angle_beta 90.00
_cell_angle_gamma 90.00
_space_group_name_H-M_alt 'P 4/m m m'
_space_group_IT_number 123
_space_group_name_Hall '-P 4 2'
loop_
_atom_site_label
_atom_site_fract_x
_atom_site_fract_y
_atom_site_fract_z
Zn1 0.0000 0.0000 0.0000
Cr1 0.5000 0.5000 0.0000
Pd1 0.0000 0.5000 0.5000
I1 0.5000 0.5000 0.5000
# Total magnetic moment ... 4.7 μB/f.u.
# V ... 26.3 Å³/atom
# Total energy ... -3.7321 eV/atom
# Crystal system ... tetragonal
# DOS(E_F) ... 2.9 states/eV per cell


# 2
# Cs3PrU2Se9, optimized geometry, DFT PBE
data_Cs3PrU2Se9
_chemical_formula_sum 'Cs3 Pr1 U2 Se9'
_cell_length_a 7.8644
_cell_length_b 7.8644
_cell_length_c 9.6779
_cell_angle_alpha 90.00
_cell_angle_beta 90.00
_cell_angle_gamma 120.00
_space_group_name_H-M_alt 'P -3 m 1'
_space_group_IT_number 164
_space_group_name_Hall '-P 3 2"'
loop_
_atom_site_label
_atom_site_fract_x
_atom_site_fract_y
_atom_site_fract_z
Cs1 0.0000 0.0000 0.0000
Cs2 0.3333 0.6667 0.6637
Pr1 0.0000 0.0000 0.5000
U1 0.3333 0.6667 0.1622
Se1 0.0000 0.5000 0.0000
Se2 0.1741 0.3482 0.3191
# Total magnetic moment ... 0.2 μB/f.u.
# V ... 34.6 Å³/atom
# Total energy ... -5.3409 eV/atom
# Crystal system ... trigonal
# DOS(E_F) ... 4.3 states/eV per cell


# 3
# NdEuSn, optimized geometry, DFT PBE
data_NdEuSn
_chemical_formula_sum 'Nd2 Eu2 Sn2'
_cell_length_a 4.2499
_cell_length_b 4.2499
_cell_length_c 10.2041
_cell_angle_alpha 90.00
_cell_angle_beta 90.00
_cell_angle_gamma 90.00
_space_group_name_H-M_alt 'I 4 m m'
_space_group_IT_number 107
_space_group_name_Hall 'I 4 -2'
loop_
_atom_site_label
_atom_site_fract_x
_atom_site_fract_y
_atom_site_fract_z
Nd1 0.0000 0.0000 0.0000
Eu1 0.0000 0.0000 0.3074
Sn1 0.0000 0.0000 0.6478
# Total magnetic moment ... 8.2 μB/f.u.
# E_form ... -1.364 eV per formula unit
# V ... 30.7 Å³/atom
# Total energy ... -6.8030 eV/atom
# Crystal system ... tetragonal
# DOS(E_F) ... 6.2 states/eV per cell
# Offset from the most stable computed form ... 0.000 eV/atom


# 4
# Tm2Zn2FeRh5, optimized geometry, DFT PBE
data_Tm2Zn2FeRh5
_chemical_formula_sum 'Tm4 Zn4 Fe2 Rh10'
_cell_length_a 9.6961
_cell_length_b 9.6961
_cell_length_c 3.4694
_cell_angle_alpha 90.00
_cell_angle_beta 90.00
_cell_angle_gamma 90.00
_space_group_name_H-M_alt 'P 4/m b m'
_space_group_IT_number 127
_space_group_name_Hall '-P 4 2ab'
loop_
_atom_site_label
_atom_site_fract_x
_atom_site_fract_y
_atom_site_fract_z
Tm1 0.1718 0.3282 0.0000
Zn1 0.1283 0.6283 0.0000
Fe1 0.0000 0.0000 0.0000
Rh1 0.0000 0.5000 0.5000
Rh2 0.0642 0.8039 0.5000
# Total magnetic moment ... 4.2 μB/f.u.
# E_form ... -4.931 eV per formula unit
# V ... 16.3 Å³/atom
# Total energy ... -6.1642 eV/atom
# Crystal system ... tetragonal
# DOS(E_F) ... 11.6 states/eV per cell


# 5
# MnSbTeI2, optimized geometry, DFT PBE
data_MnSbTeI2
_chemical_formula_sum 'Mn1 Sb1 Te1 I2'
_cell_length_a 5.2661
_cell_length_b 5.2661
_cell_length_c 5.0640
_cell_angle_alpha 90.00
_cell_angle_beta 90.00
_cell_angle_gamma 90.00
_space_group_name_H-M_alt 'P 4/m m m'
_space_group_IT_number 123
_space_group_name_Hall '-P 4 2'
loop_
_atom_site_label
_atom_site_fract_x
_atom_site_fract_y
_atom_site_fract_z
Mn1 0.0000 0.0000 0.0000
Sb1 0.5000 0.5000 0.5000
Te1 0.0000 0.0000 0.5000
I1 0.0000 0.5000 0.0000
# Total magnetic moment ... 0.0 μB/f.u.
# V ... 28.1 Å³/atom
# Total energy ... -3.3775 eV/atom
# Crystal system ... tetragonal
# DOS(E_F) ... 7.7 states/eV per cell
# Offset from the most stable computed form ... 0.226 eV/atom


# 6
# La3Er2TmTe6, optimized geometry, DFT PBE
data_La3Er2TmTe6
_chemical_formula_sum 'La6 Er4 Tm2 Te12'
_cell_length_a 19.5497
_cell_length_b 4.3832
_cell_length_c 9.0273
_cell_angle_alpha 90.00
_cell_angle_beta 105.46
_cell_angle_gamma 90.00
_space_group_name_H-M_alt 'C 1 2/m 1'
_space_group_IT_number 12
loop_
_space_group_symop_operation_xyz
'x,y,z'
'-x,-y,-z'
'-x,y,-z'
'x,-y,z'
'x+1/2,y+1/2,z'
'-x+1/2,-y+1/2,-z'
'-x+1/2,y+1/2,-z'
'x+1/2,-y+1/2,z'
loop_
_atom_site_label
_atom_site_fract_x
_atom_site_fract_y
_atom_site_fract_z
La1 0.0000 0.0000 0.0000
La2 0.1671 0.5000 0.3335
Er1 0.1670 0.5000 0.8340
Tm1 0.0000 0.0000 0.5000
Te1 0.0044 0.5000 0.7374
Te2 0.1616 0.0000 0.5945
Te3 0.1710 0.0000 0.0721
# Total magnetic moment ... 0.0 μB/f.u.
# V ... 31.1 Å³/atom
# Total energy ... -5.3425 eV/atom
# Crystal system ... monoclinic
# DOS(E_F) ... 13.2 states/eV per cell